one | CoAsBr2O | GGA+U | relaxed

Cell and atoms, written as POSCAR:
```
CoAsBr2O
1.0
5.036 0.000 0.000
0.000 5.036 0.000
0.000 0.000 4.546
Co As Br O
1 1 2 1
direct
0.000 0.000 0.000
0.000 0.000 0.500
0.000 0.500 0.000
0.500 0.000 0.000
0.500 0.500 0.500
```

Summary:
crystal system	tetragonal
magnetization	0.014	μB/atom

---

two | CoAsBr2O | GGA+U | relaxed

Cell and atoms, written as POSCAR:
```
CoAsBr2O
1.0
4.830 0.000 0.000
0.000 4.830 0.000
0.000 0.000 4.290
Co As Br O
1 1 2 1
direct
0.000 0.000 0.000
0.500 0.500 0.000
0.000 0.500 0.500
0.500 0.000 0.500
0.500 0.500 0.500
```

Summary:
crystal system	tetragonal
magnetization	0.609	μB/atom

---

Most stable of them? two.